No. 1
! PmGa2Ag6 (PBE, optimized geometry); values from VASP
! ΔE to the lowest computed polymorph: 170.5 kJ/mol of formula units
! ΔE_f: -1 meV/atom
! Size of the total moment: 0.00 Bohr magnetons per cell
&SYSTEM
  ibrav = 0, nat = 9, ntyp = 3
/
ATOMIC_SPECIES
Pm 145.00 Pm.upf
Ga 69.72 Ga.upf
Ag 107.87 Ag.upf
ATOMIC_POSITIONS crystal
Pm 0.000 0.000 0.000
Ga 0.151 0.356 0.356
Ga 0.849 0.644 0.644
Ag 0.321 0.013 0.347
Ag 0.679 0.987 0.653
Ag 0.679 0.653 0.987
Ag 0.500 0.335 0.665
Ag 0.500 0.665 0.335
Ag 0.321 0.347 0.013
CELL_PARAMETERS angstrom
-3.148 0.889 0.026
-3.714 -7.116 0.411
-2.322 -2.388 7.315


No. 2
! PmGa6Ag2 (PBE, optimized geometry); values from VASP
! ΔE_f: -134 meV/atom
! Size of the total moment: 0.00 Bohr magnetons per cell
&SYSTEM
  ibrav = 0, nat = 9, ntyp = 3
/
ATOMIC_SPECIES
Pm 145.00 Pm.upf
Ga 69.72 Ga.upf
Ag 107.87 Ag.upf
ATOMIC_POSITIONS crystal
Pm 0.500 0.500 0.500
Ga 0.194 0.492 0.119
Ga 0.806 0.508 0.881
Ga 0.806 0.881 0.508
Ga 0.000 0.176 0.824
Ga 0.000 0.824 0.176
Ga 0.194 0.119 0.492
Ag 0.385 0.115 0.115
Ag 0.615 0.885 0.885
CELL_PARAMETERS angstrom
4.182 0.000 0.000
2.091 7.013 0.698
2.091 2.683 6.518


No. 3
! PmGa4Ag6 (PBE, optimized geometry); values from VASP
! ΔE_f: -45 meV/atom
! Size of the total moment: 0.00 Bohr magnetons per cell
&SYSTEM
  ibrav = 0, nat = 11, ntyp = 3
/
ATOMIC_SPECIES
Pm 145.00 Pm.upf
Ga 69.72 Ga.upf
Ag 107.87 Ag.upf
ATOMIC_POSITIONS crystal
Pm 0.000 0.000 0.000
Ga 0.000 0.122 0.560
Ga 0.562 0.440 0.440
Ga 0.000 0.560 0.122
Ga 0.438 0.878 0.878
Ag 0.000 0.764 0.466
Ag 0.000 0.466 0.764
Ag 0.702 0.236 0.236
Ag 0.500 0.000 0.500
Ag 0.298 0.534 0.534
Ag 0.500 0.500 0.000
CELL_PARAMETERS angstrom
6.800 0.002 0.003
-3.142 6.030 -0.003
-3.142 -2.219 5.607


Among the records above, which one has the lowest ΔE_f?
PmGa6Ag2